{"formula": "ScAsPd2", "functional": "GGA-PBE", "state": "relaxed", "sg": "F-43m, No. 216", "energy_ev_per_fu": -24.1, "cell": [[6.431, 0.000, 0.000], [0.000, 6.431, 0.000], [0.000, 0.000, 6.431]], "species": ["Sc", "Sc", "Sc", "Sc", "As", "As", "As", "As", "Pd", "Pd", "Pd", "Pd", "Pd", "Pd", "Pd", "Pd"], "frac_coords": [[0.000, 0.000, 0.000], [0.000, 0.500, 0.500], [0.500, 0.000, 0.500], [0.500, 0.500, 0.000], [0.250, 0.250, 0.750], [0.250, 0.750, 0.250], [0.750, 0.250, 0.250], [0.750, 0.750, 0.750], [0.000, 0.000, 0.500], [0.000, 0.500, 0.000], [0.250, 0.250, 0.250], [0.250, 0.750, 0.750], [0.500, 0.000, 0.000], [0.500, 0.500, 0.500], [0.750, 0.250, 0.750], [0.750, 0.750, 0.250]]}

---

{"formula": "YScAs2Pd2", "functional": "GGA-PBE", "state": "relaxed", "sg": "Pm, No. 6", "energy_ev_per_fu": -38.8, "cell": [[8.856, 0.000, 0.000], [0.000, 4.421, 0.000], [-4.404, 0.000, 12.514]], "species": ["Y", "Y", "Y", "Y", "Sc", "Sc", "Sc", "Sc", "As", "As", "As", "As", "As", "As", "As", "As", "Pd", "Pd", "Pd", "Pd", "Pd", "Pd", "Pd", "Pd"], "frac_coords": [[0.000, 0.000, 0.000], [0.123, 0.500, 0.743], [0.250, 0.000, 0.495], [0.504, 0.000, 0.998], [0.378, 0.500, 0.249], [0.629, 0.500, 0.745], [0.747, 0.000, 0.494], [0.876, 0.500, 0.250], [0.127, 0.000, 0.250], [0.253, 0.500, 0.002], [0.379, 0.000, 0.746], [0.501, 0.500, 0.492], [0.627, 0.000, 0.249], [0.752, 0.500, 0.998], [0.870, 0.000, 0.741], [0.995, 0.500, 0.494], [0.069, 0.500, 0.134], [0.188, 0.000, 0.872], [0.327, 0.500, 0.625], [0.444, 0.000, 0.367], [0.570, 0.500, 0.132], [0.686, 0.000, 0.863], [0.802, 0.500, 0.614], [0.929, 0.000, 0.369]]}

---

{"formula": "SnAs2Pd2", "functional": "GGA-PBE", "state": "relaxed", "sg": "I4/mmm, No. 139", "energy_ev_per_fu": -24.6, "cell": [[4.355, 0.000, 0.000], [0.000, 4.355, 0.000], [0.000, 0.000, 10.353]], "species": ["Sn", "Sn", "As", "As", "As", "As", "Pd", "Pd", "Pd", "Pd"], "frac_coords": [[0.000, 0.000, 0.000], [0.500, 0.500, 0.500], [0.000, 0.000, 0.378], [0.000, 0.000, 0.622], [0.500, 0.500, 0.122], [0.500, 0.500, 0.878], [0.000, 0.500, 0.250], [0.000, 0.500, 0.750], [0.500, 0.000, 0.250], [0.500, 0.000, 0.750]]}

---

{"formula": "Sn2AsPd6", "functional": "GGA-PBE", "state": "relaxed", "sg": "P-62m, No. 189", "energy_ev_per_fu": -48.3, "cell": [[7.231, 0.000, 0.000], [-3.616, 6.262, 0.000], [0.000, 0.000, 3.331]], "species": ["Sn", "Sn", "As", "Pd", "Pd", "Pd", "Pd", "Pd", "Pd"], "frac_coords": [[0.333, 0.667, 0.000], [0.667, 0.333, 0.000], [0.000, 0.000, 0.500], [0.000, 0.268, 0.000], [0.000, 0.621, 0.500], [0.268, 0.000, 0.000], [0.379, 0.379, 0.500], [0.621, 0.000, 0.500], [0.732, 0.732, 0.000]]}

---

{"formula": "SrSnAsPd2", "functional": "GGA-PBE", "state": "relaxed", "sg": "P4/nmm, No. 129", "energy_ev_per_fu": -24.4, "cell": [[4.663, 0.000, 0.000], [0.000, 4.663, 0.000], [0.000, 0.000, 10.208]], "species": ["Sr", "Sr", "Sn", "Sn", "As", "As", "Pd", "Pd", "Pd", "Pd"], "frac_coords": [[0.250, 0.250, 0.234], [0.750, 0.750, 0.766], [0.250, 0.250, 0.629], [0.750, 0.750, 0.371], [0.250, 0.750, 0.000], [0.750, 0.250, 0.000], [0.250, 0.250, 0.894], [0.250, 0.750, 0.500], [0.750, 0.250, 0.500], [0.750, 0.750, 0.106]]}